Version i
Ta2TcRh | PBE | relaxed

Lattice parameters (Å, degrees): 3.3126 4.5871 8.5317 90.00 90.00 90.00
Space group Cmmm (No. 65)
Asymmetric unit:
Ta (0.0000, 0.0000, 0.2479) (multiplicity 4)
Tc (0.0000, 0.5000, 0.5000) (multiplicity 2)
Rh (0.0000, 0.5000, 0.0000) (multiplicity 2)

## Properties
- D(E_F) (states/eV/f.u.) = 2.76



Version ii
Ta2TcRh | PBE | relaxed

Lattice parameters (Å, degrees): 2.8146 4.5867 5.1591 90.00 100.56 90.00
Space group Pm (No. 6)
Asymmetric unit:
Ta (0.0000, 0.0000, 0.0000) (multiplicity 1)
Ta (0.2590, 0.5000, 0.7025) (multiplicity 1)
Tc (0.7508, 0.5000, 0.1914) (multiplicity 1)
Rh (0.5034, 0.0000, 0.5046) (multiplicity 1)

## Properties
- D(E_F) (states/eV/f.u.) = 3.41



So which one wins? Going from most stable to least: version i, version ii.



Version i
Ta2TcRh | PBE | relaxed

Lattice parameters (Å, degrees): 5.7490 8.5368 2.7988 90.00 108.67 90.00
Space group C2/m (No. 12)
Asymmetric unit:
Ta (0.2500, 0.2500, 0.0000) (multiplicity 4)
Tc (0.0000, 0.0000, 0.5000) (multiplicity 2)
Rh (0.0000, 0.5000, 0.5000) (multiplicity 2)

## Properties
- D(E_F) (states/eV/f.u.) = 3.69



Version ii
Ta2TcRh | PBE | relaxed

Lattice parameters (Å, degrees): 3.2258 3.2258 6.2414 90.00 90.00 90.00
Space group P4/mmm (No. 123)
Asymmetric unit:
Ta (0.0000, 0.0000, 0.2455) (multiplicity 2)
Tc (0.5000, 0.5000, 0.0000) (multiplicity 1)
Rh (0.5000, 0.5000, 0.5000) (multiplicity 1)

## Properties
- D(E_F) (states/eV/f.u.) = 4.06



Version iii
Ta2TcRh | PBE | relaxed

Lattice parameters (Å, degrees): 6.3805 6.3805 6.3805 90.00 90.00 90.00
Space group F-43m (No. 216)
Asymmetric unit:
Ta (0.0000, 0.0000, 0.0000) (multiplicity 4)
Ta (0.2500, 0.2500, 0.2500) (multiplicity 4)
Tc (0.2500, 0.2500, 0.7500) (multiplicity 4)
Rh (0.0000, 0.0000, 0.5000) (multiplicity 4)

## Properties
- D(E_F) (states/eV/f.u.) = 5.92



Version iv
Ta2TcRh | PBE | relaxed

Lattice parameters (Å, degrees): 2.7615 2.7615 8.5913 90.00 90.00 90.00
Space group P4mm (No. 99)
Asymmetric unit:
Ta (0.0000, 0.0000, 0.0000) (multiplicity 1)
Ta (0.5000, 0.5000, 0.2742) (multiplicity 1)
Tc (0.0000, 0.0000, 0.5384) (multiplicity 1)
Rh (0.5000, 0.5000, 0.7483) (multiplicity 1)

## Properties
- D(E_F) (states/eV/f.u.) = 3.83



So which one wins? Going from most stable to least: version ii, version i, version iv, version iii.



Version i
Ta2TcRh | PBE | relaxed

Lattice parameters (Å, degrees): 2.9953 2.9953 25.6474 90.00 90.00 120.00
Space group R-3m (No. 166, hexagonal axes)
Asymmetric unit:
Ta (0.0000, 0.0000, 0.2503) (multiplicity 6)
Tc (0.0000, 0.0000, 0.0000) (multiplicity 3)
Rh (0.0000, 0.0000, 0.5000) (multiplicity 3)

## Properties
- D(E_F) (states/eV/f.u.) = 4.82



Version ii
Ta2TcRh | PBE | relaxed

Lattice parameters (Å, degrees): 5.7680 5.7680 11.5038 90.00 90.00 90.00
Space group I-42d (No. 122)
Asymmetric unit:
Ta (0.2501, 0.2500, 0.1250) (multiplicity 8)
Tc (0.0000, 0.0000, 0.0000) (multiplicity 4)
Rh (0.0000, 0.0000, 0.5000) (multiplicity 4)

## Properties
- D(E_F) (states/eV/f.u.) = 6.89



So which one wins? Going from most stable to least: version i, version ii.



Version i
Ta2TcRh | PBE | relaxed

Lattice parameters (Å, degrees): 3.3807 4.6340 8.3301 90.00 90.00 90.00
Space group Immm (No. 71)
Asymmetric unit:
Ta (0.0000, 0.0000, 0.2465) (multiplicity 4)
Tc (0.0000, 0.5000, 0.5000) (multiplicity 2)
Rh (0.0000, 0.5000, 0.0000) (multiplicity 2)

## Properties
- D(E_F) (states/eV/f.u.) = 3.51



Version ii
Ta2TcRh | PBE | relaxed

Lattice parameters (Å, degrees): 2.7985 4.2641 5.5402 90.00 100.38 90.00
Space group P2/m (No. 10)
Asymmetric unit:
Ta (0.2259, 0.0000, 0.2554) (multiplicity 2)
Tc (0.0000, 0.5000, 0.5000) (multiplicity 1)
Rh (0.5000, 0.5000, 0.0000) (multiplicity 1)

## Properties
- D(E_F) (states/eV/f.u.) = 3.51



So which one wins? Going from most stable to least: version ii, version i.